Entry 1:
A plane-wave DFT calculation with GGA-PBEsol was carried out for an optimized crystal structure of CaBeB2O5.

Structure (POSCAR):
```
CaBeB2O5
1.0
3.7431 0.0000 0.0000
0.0000 5.1847 -0.0022
0.0000 -2.2911 16.9601
O B Ca Be
20 8 4 4
Direct
0.9828 0.8515 0.7232
0.9073 0.0906 0.1329
0.0927 0.9094 0.8671
0.0721 0.4504 0.8769
0.4517 0.1232 0.7829
0.5927 0.5906 0.6329
0.5721 0.0496 0.6231
0.7469 0.2605 0.4682
0.4279 0.9504 0.3769
0.9517 0.3768 0.7171
0.9279 0.5496 0.1231
0.5483 0.8768 0.2171
0.5172 0.3515 0.2232
0.4073 0.4094 0.3671
0.2469 0.2395 0.0318
0.2531 0.7395 0.5318
0.0483 0.6232 0.2829
0.4828 0.6485 0.7768
0.7531 0.7605 0.9682
0.0172 0.1485 0.2768
0.4693 0.7994 0.5952
0.7466 0.1160 0.2127
0.5307 0.2006 0.4048
0.2466 0.3840 0.2873
0.7534 0.6160 0.7127
0.2534 0.8840 0.7873
0.0307 0.2994 0.0952
0.9693 0.7006 0.9048
0.6152 0.1977 0.9252
0.3848 0.8023 0.0748
0.8848 0.6977 0.4252
0.1152 0.3023 0.5748
0.2635 0.8948 0.2893
0.7635 0.6052 0.2107
0.2365 0.3948 0.7893
0.7365 0.1052 0.7107
```

Summary:
The energy relative to the elements, uncorrected is -2772 meV/atom. Its space-group type is P2_1/c. The calculation puts the spin magnetization at 0.0 μB/f.u. The density of states at the Fermi level is 0.00 states/eV/f.u.

Entry 2:
A plane-wave DFT calculation with GGA-PBEsol was carried out for an optimized crystal structure of K2BeCoB.

Structure (POSCAR):
```
K2BeCoB
1.0
4.0290 0.0000 0.0000
0.0000 5.8387 0.0000
0.0000 0.0000 5.8387
B K Co Be
1 2 1 1
Direct
0.5000 0.5000 0.5000
0.0000 0.0000 0.5000
0.0000 0.5000 0.0000
0.0000 0.0000 0.0000
0.5000 0.0000 0.0000
```

Summary:
Its space-group type is P4/mmm. The calculation puts the spin magnetization at 2.5 μB/f.u. The formation energy is 1.73 eV per atom. The density of states at the Fermi level is 5.48 states/eV/f.u.

Entry 3:
A plane-wave DFT calculation with GGA-PBEsol was carried out for an optimized crystal structure of Ta2BeCoB.

Structure (POSCAR):
```
Ta2BeCoB
1.0
-1.4516 -0.3222 3.0676
-3.7626 -0.9351 -1.8787
1.0191 -4.1858 0.0425
B Co Be Ta
1 1 1 2
Direct
0.0000 0.0000 0.0000
0.5000 0.5000 0.5000
0.5000 0.0000 0.0000
0.0000 0.0000 0.5000
0.0000 0.5000 0.0000
```

Summary:
Its space-group type is P4/mmm. The calculation puts the spin magnetization at 0.0 μB/f.u. The formation energy is 0.05 eV per atom. The density of states at the Fermi level is 2.67 states/eV/f.u.

Entry 4:
A plane-wave DFT calculation with GGA-PBEsol was carried out for an optimized crystal structure of BeCoB2W.

Structure (POSCAR):
```
BeCoB2W
1.0
-2.5003 -2.3655 1.2031
2.0141 -2.7677 -1.2560
1.7588 -0.2002 3.2616
Be B W Co
1 2 1 1
Direct
0.0000 0.0000 0.5000
0.0000 0.5000 0.0000
0.5000 0.0000 0.0000
0.5000 0.5000 0.5000
0.0000 0.0000 0.0000
```

Summary:
Its space-group type is P4/mmm. The calculation puts the spin magnetization at 0.0 μB/f.u. The formation energy is 0.81 eV per atom. The density of states at the Fermi level is 3.75 states/eV/f.u.

Entry 5:
A plane-wave DFT calculation with GGA-PBEsol was carried out for an optimized crystal structure of BeCrB.

Structure (POSCAR):
```
BeCrB
1.0
-1.6145 0.0183 -2.4819
-3.9768 -0.6165 0.8162
-1.9809 4.0253 -0.4478
B Cr Be
2 2 2
Direct
0.3651 0.6042 0.6657
0.6349 0.3958 0.3343
0.9243 0.8182 0.3331
0.0757 0.1818 0.6669
0.3200 0.2744 0.0856
0.6800 0.7256 0.9144
```

Summary:
Its space-group type is C2/m. The calculation puts the spin magnetization at 0.0 μB/f.u. The formation energy is -0.38 eV per atom. The density of states at the Fermi level is 1.83 states/eV/f.u.

Entry 6:
A plane-wave DFT calculation with GGA-PBEsol was carried out for an optimized crystal structure of BeCr2B.

Structure (POSCAR):
```
BeCr2B
1.0
-1.1556 -4.3860 0.5068
3.3252 -3.1823 0.5907
-0.7920 -1.6742 4.2547
Cr B Be
4 2 2
Direct
0.1032 0.5218 0.0218
0.3750 0.9782 0.5218
0.6468 0.4782 0.9782
0.8750 0.0218 0.4782
0.0000 0.0000 0.0000
0.7500 0.5000 0.5000
0.2500 0.5000 0.5000
0.5000 0.0000 0.0000
```

Summary:
Its space-group type is I-42d. The calculation puts the spin magnetization at 0.0 μB/f.u. The formation energy is 0.27 eV per atom. The density of states at the Fermi level is 2.83 states/eV/f.u.

Entry 7:
A plane-wave DFT calculation with GGA-PBEsol was carried out for an optimized crystal structure of CsBeB3.

Structure (POSCAR):
```
CsBeB3
1.0
4.1649 0.0000 0.0000
0.0000 4.1649 0.0000
0.0000 0.0000 4.1649
B Cs Be
3 1 1
Direct
0.5000 0.0000 0.0000
0.0000 0.0000 0.5000
0.0000 0.5000 0.0000
0.5000 0.5000 0.5000
0.0000 0.0000 0.0000
```

Summary:
Its space-group type is Pm-3m. The calculation puts the spin magnetization at 0.0 μB/f.u. The formation energy is 1.97 eV per atom. The density of states at the Fermi level is 3.83 states/eV/f.u.

Entry 8:
A plane-wave DFT calculation with GGA-PBEsol was carried out for an optimized crystal structure of CsBe2BO3F2.

Structure (POSCAR):
```
CsBe2BO3F2
1.0
4.4624 0.0000 0.0000
2.2312 3.8646 0.0000
2.2312 1.2882 7.0629
O F Cs Be B
3 2 1 2 1
Direct
0.5000 0.8088 0.5000
0.8088 0.1912 0.5000
0.1912 0.5000 0.5000
0.7343 0.7343 0.7971
0.2657 0.2657 0.2029
0.0000 0.0000 0.0000
0.1930 0.1930 0.4210
0.8070 0.8070 0.5790
0.5000 0.5000 0.5000
```

Summary:
The energy relative to the elements, uncorrected is -2850 meV/atom. Its space-group type is R32. The calculation puts the spin magnetization at 0.0 μB/f.u. The density of states at the Fermi level is 0.00 states/eV/f.u.

Entry 9:
A plane-wave DFT calculation with GGA-PBEsol was carried out for an optimized crystal structure of BeCuB3.

Structure (POSCAR):
```
BeCuB3
1.0
-1.3409 1.7458 2.7867
2.4325 -1.4985 2.1093
2.2128 2.7052 -0.6301
Cu B Be
1 3 1
Direct
0.5000 0.5000 0.5000
0.5000 0.0000 0.0000
0.0000 0.5000 0.0000
0.0000 0.0000 0.5000
0.0000 0.0000 0.0000
```

Summary:
Its space-group type is Pm-3m. The calculation puts the spin magnetization at 0.0 μB/f.u. The formation energy is 1.55 eV per atom. The density of states at the Fermi level is 2.03 states/eV/f.u.

Entry 10:
A plane-wave DFT calculation with GGA-PBEsol was carried out for an optimized crystal structure of BeCuB2.

Structure (POSCAR):
```
BeCuB2
1.0
3.9076 0.0000 0.0000
1.9538 4.1953 0.0000
1.9538 0.0000 4.1953
Cu B Be
2 4 2
Direct
0.7500 0.5000 0.5000
0.0000 0.0000 0.0000
0.1264 0.9986 0.4986
0.3750 0.4986 0.0014
0.8750 0.5014 0.9986
0.6236 0.0014 0.5014
0.5000 0.0000 0.0000
0.2500 0.5000 0.5000
```

Summary:
Its space-group type is I-42d. The calculation puts the spin magnetization at 0.0 μB/f.u. The formation energy is 1.00 eV per atom. The density of states at the Fermi level is 1.04 states/eV/f.u.

Entry 11:
A plane-wave DFT calculation with GGA-PBEsol was carried out for an optimized crystal structure of NaBeCu2B.

Structure (POSCAR):
```
NaBeCu2B
1.0
-0.5134 1.8435 3.2088
-2.5312 -2.8886 1.2546
3.0999 -2.0016 1.6459
Cu Na B Be
2 1 1 1
Direct
0.0000 0.0000 0.5000
0.0000 0.5000 0.0000
0.5000 0.5000 0.5000
0.0000 0.0000 0.0000
0.5000 0.0000 0.0000
```

Summary:
Its space-group type is P4/mmm. The calculation puts the spin magnetization at 0.0 μB/f.u. The formation energy is 0.23 eV per atom. The density of states at the Fermi level is 1.28 states/eV/f.u.

Entry 12:
A plane-wave DFT calculation with GGA-PBEsol was carried out for an optimized crystal structure of BeBF2.

Structure (POSCAR):
```
BeBF2
1.0
-2.4201 0.8090 0.7752
-1.8234 -1.7902 0.7632
1.1656 0.2305 7.9852
B F Be
1 2 1
Direct
0.5000 0.5000 0.5000
0.9416 0.9416 0.1751
0.0584 0.0584 0.8249
0.0000 0.0000 0.0000
```

Summary:
The energy relative to the elements, uncorrected is -571 meV/atom. Its space-group type is R-3m. The calculation puts the spin magnetization at 0.0 μB/f.u. The density of states at the Fermi level is 0.81 states/eV/f.u.